1.
# ErZnAg4

A relaxed structure of ErZnAg4 (PBE, Alexandria via LeMat-Bulk).

Computed properties:
- Total magnetization: 0.000 Bohr magnetons per cell
- ΔH_f (0 K): -0.105 eV per atom
- E above lowest polymorph: 0 meV per atom
- Calculated volume: 19.2 Å³/atom
- Final energy: -0.2189 Ry/atom

Lattice parameters (Å, degrees): 3.341 3.573 9.625 90.00 90.14 90.00
Space group P2/m (No. 10)
One atom of each set of equivalent atoms:
Er 0.000 0.000 0.000 [1 per cell]
Zn 0.500 0.500 0.500 [1 per cell]
Ag 0.001 0.000 0.649 [2 per cell]
Ag 0.499 0.500 0.190 [2 per cell]

***

2.
# Dy6TlTe3Se2

A relaxed structure of Dy6TlTe3Se2 (PBE, Alexandria via LeMat-Bulk).

Computed properties:
- Total magnetization: 0.000 Bohr magnetons per cell
- Formation energy (no corrections): -1289 meV per atom
- Calculated volume: 27.7 Å³/atom
- Final energy: -0.3788 Ry/atom

Lattice parameters (Å, degrees): 18.777 4.185 8.732 90.00 104.50 90.00
Space group C2/m (No. 12)
One atom of each set of equivalent atoms:
Dy 0.007 0.000 0.249 [4 per cell]
Dy 0.165 0.500 0.103 [4 per cell]
Dy 0.174 0.500 0.567 [4 per cell]
Tl 0.000 0.500 0.000 [2 per cell]
Te 0.000 0.500 0.500 [2 per cell]
Te 0.166 0.000 0.831 [4 per cell]
Se 0.168 0.000 0.336 [4 per cell]